# SrYGa, optimized geometry, DFT PBE-GGA
# * space-group type: Cmcm
# * formation enthalpy at 0 K: -0.37 eV/atom
# * distance to the lowest polymorph of the same formula: 0.0 meV/atom
data_SrYGa
_chemical_formula_sum 'Sr2 Y2 Ga2'
_symmetry_space_group_name_H-M 'P 1'
_symmetry_Int_Tables_number 1
_cell_length_a 11.6673
_cell_length_b 11.6673
_cell_length_c 4.1291
_cell_angle_alpha 90.00
_cell_angle_beta 90.00
_cell_angle_gamma 158.79
loop_
_symmetry_equiv_pos_as_xyz
'x,y,z'
loop_
_atom_site_label
_atom_site_fract_x
_atom_site_fract_y
_atom_site_fract_z
Sr1 0.1826 0.8174 0.7500
Sr2 0.8174 0.1826 0.2500
Y1 0.4353 0.5647 0.7500
Y2 0.5647 0.4353 0.2500
Ga1 0.0368 0.9632 0.7500
Ga2 0.9632 0.0368 0.2500


# Sr2YGa2, optimized geometry, DFT PBE-GGA
# * space-group type: P4/mbm
# * formation enthalpy at 0 K: -0.28 eV/atom
data_Sr2YGa2
_chemical_formula_sum 'Sr4 Y2 Ga4'
_symmetry_space_group_name_H-M 'P 1'
_symmetry_Int_Tables_number 1
_cell_length_a 7.8414
_cell_length_b 7.8414
_cell_length_c 5.0750
_cell_angle_alpha 90.00
_cell_angle_beta 90.00
_cell_angle_gamma 90.00
loop_
_symmetry_equiv_pos_as_xyz
'x,y,z'
loop_
_atom_site_label
_atom_site_fract_x
_atom_site_fract_y
_atom_site_fract_z
Sr1 0.1740 0.3260 0.0000
Sr2 0.3260 0.8260 0.0000
Sr3 0.6740 0.1740 0.0000
Sr4 0.8260 0.6740 0.0000
Y1 0.0000 0.0000 0.5000
Y2 0.5000 0.5000 0.5000
Ga1 0.1181 0.6181 0.5000
Ga2 0.3819 0.1181 0.5000
Ga3 0.6181 0.8819 0.5000
Ga4 0.8819 0.3819 0.5000


# Sr2YGa, optimized geometry, DFT PBE-GGA
# * space-group type: I-42d
# * formation enthalpy at 0 K: 0.15 eV/atom
data_Sr2YGa
_chemical_formula_sum 'Sr4 Y2 Ga2'
_symmetry_space_group_name_H-M 'P 1'
_symmetry_Int_Tables_number 1
_cell_length_a 7.4831
_cell_length_b 7.4831
_cell_length_c 7.4831
_cell_angle_alpha 101.14
_cell_angle_beta 101.14
_cell_angle_gamma 127.84
loop_
_symmetry_equiv_pos_as_xyz
'x,y,z'
loop_
_atom_site_label
_atom_site_fract_x
_atom_site_fract_y
_atom_site_fract_z
Sr1 0.0627 0.6250 0.9377
Sr2 0.3750 0.3127 0.4377
Sr3 0.6873 0.1250 0.0623
Sr4 0.8750 0.9373 0.5623
Y1 0.2500 0.7500 0.5000
Y2 0.5000 0.5000 0.0000
Ga1 0.0000 0.0000 0.0000
Ga2 0.7500 0.2500 0.5000


# SrYGa3, optimized geometry, DFT PBE-GGA
# * space-group type: Pm-3m
# * formation enthalpy at 0 K: 0.68 eV/atom
# * distance to the lowest polymorph of the same formula: 1208.5 meV/atom
data_SrYGa3
_chemical_formula_sum 'Sr1 Y1 Ga3'
_symmetry_space_group_name_H-M 'P 1'
_symmetry_Int_Tables_number 1
_cell_length_a 5.4423
_cell_length_b 5.4423
_cell_length_c 5.4423
_cell_angle_alpha 90.00
_cell_angle_beta 90.00
_cell_angle_gamma 90.00
loop_
_symmetry_equiv_pos_as_xyz
'x,y,z'
loop_
_atom_site_label
_atom_site_fract_x
_atom_site_fract_y
_atom_site_fract_z
Sr1 0.0000 0.0000 0.0000
Y1 0.5000 0.5000 0.5000
Ga1 0.0000 0.0000 0.5000
Ga2 0.0000 0.5000 0.0000
Ga3 0.5000 0.0000 0.0000


# SrYGa, optimized geometry, DFT PBE-GGA
# * space-group type: P4/mmm
# * formation enthalpy at 0 K: -0.20 eV/atom
# * distance to the lowest polymorph of the same formula: 170.5 meV/atom
data_SrYGa
_chemical_formula_sum 'Sr2 Y2 Ga2'
_symmetry_space_group_name_H-M 'P 1'
_symmetry_Int_Tables_number 1
_cell_length_a 5.2860
_cell_length_b 5.2860
_cell_length_c 7.1571
_cell_angle_alpha 90.00
_cell_angle_beta 90.00
_cell_angle_gamma 90.00
loop_
_symmetry_equiv_pos_as_xyz
'x,y,z'
loop_
_atom_site_label
_atom_site_fract_x
_atom_site_fract_y
_atom_site_fract_z
Sr1 0.0000 0.5000 0.0000
Sr2 0.5000 0.0000 0.0000
Y1 0.0000 0.5000 0.5000
Y2 0.5000 0.0000 0.5000
Ga1 0.0000 0.0000 0.2945
Ga2 0.0000 0.0000 0.7055


# SrY2Ga, optimized geometry, DFT PBE-GGA
# * space-group type: P4/mmm
# * formation enthalpy at 0 K: -0.20 eV/atom
data_SrY2Ga
_chemical_formula_sum 'Sr1 Y2 Ga1'
_symmetry_space_group_name_H-M 'P 1'
_symmetry_Int_Tables_number 1
_cell_length_a 3.6427
_cell_length_b 3.6427
_cell_length_c 9.6697
_cell_angle_alpha 90.00
_cell_angle_beta 90.00
_cell_angle_gamma 90.00
loop_
_symmetry_equiv_pos_as_xyz
'x,y,z'
loop_
_atom_site_label
_atom_site_fract_x
_atom_site_fract_y
_atom_site_fract_z
Sr1 0.0000 0.0000 0.0000
Y1 0.5000 0.5000 0.3210
Y2 0.5000 0.5000 0.6790
Ga1 0.0000 0.0000 0.5000


# SrYZnGa, optimized geometry, DFT PBE-GGA
# * space-group type: F-43m
# * formation enthalpy at 0 K: -0.32 eV/atom
data_SrYZnGa
_chemical_formula_sum 'Sr1 Y1 Zn1 Ga1'
_symmetry_space_group_name_H-M 'P 1'
_symmetry_Int_Tables_number 1
_cell_length_a 5.2761
_cell_length_b 5.2761
_cell_length_c 5.2761
_cell_angle_alpha 60.00
_cell_angle_beta 60.00
_cell_angle_gamma 60.00
loop_
_symmetry_equiv_pos_as_xyz
'x,y,z'
loop_
_atom_site_label
_atom_site_fract_x
_atom_site_fract_y
_atom_site_fract_z
Sr1 0.0000 0.0000 0.0000
Y1 0.5000 0.5000 0.5000
Zn1 0.2500 0.2500 0.2500
Ga1 0.7500 0.7500 0.7500


# Sr4ZnGa, optimized geometry, DFT PBE-GGA
# * space-group type: C2/c
# * formation enthalpy at 0 K: -0.17 eV/atom
# * distance to the lowest polymorph of the same formula: 40.1 meV/atom
data_Sr4ZnGa
_chemical_formula_sum 'Sr8 Zn2 Ga2'
_symmetry_space_group_name_H-M 'P 1'
_symmetry_Int_Tables_number 1
_cell_length_a 9.2188
_cell_length_b 9.2188
_cell_length_c 7.3779
_cell_angle_alpha 109.16
_cell_angle_beta 109.16
_cell_angle_gamma 111.50
loop_
_symmetry_equiv_pos_as_xyz
'x,y,z'
loop_
_atom_site_label
_atom_site_fract_x
_atom_site_fract_y
_atom_site_fract_z
Sr1 0.0535 0.6849 0.9008
Sr2 0.2511 0.3632 0.7405
Sr3 0.3151 0.9465 0.5992
Sr4 0.3632 0.2511 0.2405
Sr5 0.6368 0.7489 0.7595
Sr6 0.6849 0.0535 0.4008
Sr7 0.7489 0.6368 0.2595
Sr8 0.9465 0.3151 0.0992
Zn1 0.0011 0.9989 0.7500
Zn2 0.9989 0.0011 0.2500
Ga1 0.3661 0.6339 0.2500
Ga2 0.6339 0.3661 0.7500